Lu2Zr4Cu3C3 | PBE | optimized geometry Values from VASP.

```
&SYSTEM
  ibrav = 0, nat = 24, ntyp = 4
/
ATOMIC_SPECIES
C 12.01 C.upf
Cu 63.55 Cu.upf
Lu 174.97 Lu.upf
Zr 91.22 Zr.upf
CELL_PARAMETERS angstrom
5.011 -2.893 0.000
5.011 2.893 0.000
-3.487 0.000 13.890
ATOMIC_POSITIONS angstrom
C 2.506 -1.446 0.000
C 4.161 1.472 0.004
C 4.118 1.472 6.941
C 0.762 1.446 6.945
C 2.417 -1.472 6.949
C 2.375 -1.472 13.886
Cu 6.583 0.915 3.470
Cu 4.139 2.455 3.472
Cu 1.696 0.915 3.475
Cu 4.840 -0.915 10.415
Cu 2.396 -2.455 10.417
Cu -0.048 -0.915 10.420
Lu 4.202 -0.470 1.533
Lu 4.077 -0.470 5.411
Lu 2.459 0.470 8.478
Lu 2.333 0.470 12.356
Zr 0.829 -0.523 1.213
Zr 7.474 -0.468 1.213
Zr 0.805 -0.468 5.731
Zr 7.449 -0.523 5.732
Zr -0.914 0.523 8.158
Zr 5.730 0.468 8.158
Zr -0.938 0.468 12.676
Zr 5.706 0.523 12.677
```

## Properties
Space-group type: C2/c (15)
Final energy in eV/cell: -173.423